Computed, not measured: HfCdF3 after structural relaxation at the PBE-GGA level of DFT.

Computed properties:
Excess energy over the best structure of this formula in the dataset in meV per atom: 1224.4
Formation energy without anion corrections in kcal/mol of atoms: -24.4
Theoretical density in g cm⁻³: 6.60
Symmetry: No. 221
DFT total energy in eV per atom: -4.354
Calculated volume in A^3/atom: 17.51

```
5
Lattice="-1.318 -4.233 -0.241 1.479 -0.223 -4.181 3.974 -1.321 1.476" Properties=species:S:1:pos:R:3 pbc="T T T"
F -0.659 -2.117 -0.120
F 1.987 -0.661 0.738
Hf 2.067 -2.889 -1.473
F 0.740 -0.111 -2.090
Cd 0.000 0.000 0.000
```